Computed, not measured: Ni5Pt at its PBEsol-relaxed geometry at the SCAN level of DFT.

Cell: 4.8060 4.8060 5.9277 Å, 105.40 105.40 31.03°
Closest atoms and distances in Å follow each position.
Element x y z (fractional)
Ni  0.0000  0.0000  0.0000  9 Ni 2.49-2.62, 3 Pt 2.52-2.54
Ni  0.0513  0.0513  0.5865  10 Ni 2.40-2.62, 2 Pt 2.54
Ni  0.3402  0.3402  0.6530  10 Ni 2.42-2.60, 2 Pt 2.56
Ni  0.3909  0.3909  0.2735  10 Ni 2.40-2.57, 2 Pt 2.56
Ni  0.6692  0.6692  0.3327  11 Ni 2.45-2.57, 1 Pt 2.56
Pt  0.7194  0.7194  0.9285  10 Ni 2.52-2.56, 2 Pt 2.57

Computed properties:
- Magnetic moment: 4.1 μB per formula unit
- Formation enthalpy at 0 K: 0.00 eV/atom
- Fermi-level density of states: 0.982 states/eV/atom